# KDyRe2N6

A geometry-optimized KDyRe2N6 structure (GGA-PBE, Alexandria via LeMat-Bulk).

Calculated values
Formation energy without anion corrections in eV per atom: -0.378
Crystal system: monoclinic
Total magnetization in μB per cell: 0.0
V in Å³/cell: 358.77
SG: C2/c, No. 15

abc: 6.3776 7.7538 7.7538
angles: 86.19 75.31 75.31
Atoms (fractional coordinates):
1 K 0.2500 0.9163 0.0837
2 K 0.7500 0.0837 0.9163
3 Dy 0.2500 0.2928 0.7072
4 Dy 0.7500 0.7072 0.2928
5 Re 0.3176 0.7901 0.6210
6 Re 0.1824 0.3790 0.2099
7 Re 0.6824 0.2099 0.3790
8 Re 0.8176 0.6210 0.7901
9 N 0.2073 0.0009 0.7277
10 N 0.2927 0.2723 0.9991
11 N 0.7927 0.9991 0.2723
12 N 0.7073 0.7277 0.0009
13 N 0.3636 0.8240 0.3902
14 N 0.1364 0.6098 0.1760
15 N 0.6364 0.1760 0.6098
16 N 0.8636 0.3902 0.8240
17 N 0.1166 0.6340 0.6889
18 N 0.3834 0.3111 0.3660
19 N 0.8834 0.3660 0.3111
20 N 0.6166 0.6889 0.6340